This record from Alexandria via LeMat-Bulk describes crystalline Na10B17C3 at its relaxed geometry. The functional is PBE.

* DFT formation energy: 223 meV/atom
* energy relative to the lowest polymorph listed for this composition: 18 meV/atom
* SG: No. 1
* calculated volume: 328.1 Å³ per cell
* total moment: 0.00 μB per formula unit

a b c (Å): 5.3034 7.5994 9.1865
angles (deg): 75.83 73.30 69.64
Atoms (fractional coordinates):
1 Na 0.0000 0.0000 0.0000
2 Na 0.0008 0.4982 0.5025
3 Na 0.2008 0.5990 0.9992
4 Na 0.2039 0.1007 0.4948
5 Na 0.4034 0.1995 0.9989
6 Na 0.4028 0.6991 0.5016
7 Na 0.6033 0.2998 0.4990
8 Na 0.6080 0.7996 0.9984
9 Na 0.8035 0.3997 0.9985
10 Na 0.8044 0.9007 0.4961
11 B 0.0267 0.3583 0.2487
12 B 0.1527 0.7486 0.2492
13 B 0.1664 0.2380 0.7489
14 B 0.2429 0.4450 0.7491
15 B 0.2760 0.9398 0.2490
16 B 0.3333 0.8507 0.7491
17 B 0.3521 0.3597 0.2488
18 B 0.4587 0.0388 0.7488
19 B 0.4675 0.5587 0.2487
20 B 0.5560 0.4589 0.7491
21 B 0.6352 0.1417 0.2488
22 B 0.6467 0.6610 0.7486
23 B 0.7840 0.0382 0.7490
24 B 0.8233 0.7493 0.2489
25 B 0.8389 0.2543 0.7491
26 B 0.9617 0.1407 0.2490
27 B 0.9719 0.6608 0.7489
28 C 0.0395 0.8495 0.7495
29 C 0.5683 0.9450 0.2488
30 C 0.7642 0.5543 0.2483